[1]
This record from the Alexandria database describes crystalline Li2ZnPt2O6 at its relaxed geometry. The functional is GGA-PBE.

Calculated values
The value obtained for the total magnetic moment is 0.00 μB/cell. As for the crystal system: monoclinic. The value obtained for the raw formation energy is -12.1 eV/f.u.

abc: 5.4147 5.4147 5.1910
angles: 99.75 99.75 121.02
With the nearest neighbours (Å) after each atom.
Element x y z (fractional)
Li: 0.1705 0.8295 0.0000  6 O 2.14-2.30
Li: 0.8295 0.1705 0.0000  6 O 2.14-2.30
Zn: 0.0000 0.0000 0.5000  6 O 2.04-2.20
Pt: 0.3357 0.6643 0.5000  6 O 2.04-2.07
Pt: 0.6643 0.3357 0.5000  6 O 2.04-2.07
O: 0.0650 0.4236 0.7212  2 Pt 2.04-2.07, 2 Li 2.14-2.26, 1 Zn 2.20
O: 0.2589 0.2589 0.2871  1 Zn 2.04, 2 Pt 2.07
O: 0.4236 0.0650 0.7212  2 Pt 2.04-2.07, 2 Li 2.14-2.26, 1 Zn 2.20
O: 0.5764 0.9350 0.2788  2 Pt 2.04-2.07, 2 Li 2.14-2.26, 1 Zn 2.20
O: 0.7411 0.7411 0.7129  1 Zn 2.04, 2 Pt 2.07
O: 0.9350 0.5764 0.2788  2 Pt 2.04-2.07, 2 Li 2.14-2.26, 1 Zn 2.20

---

[2]
This record from the Alexandria database describes crystalline Li2ZnPtO4 at its relaxed geometry. The functional is GGA-PBE.

Calculated values
The value obtained for the total magnetic moment is 0.00 μB/cell. As for the crystal system: monoclinic. The value obtained for the raw formation energy is -10.4 eV/f.u.

abc: 5.1628 3.0785 5.3317
angles: 90.00 109.95 90.00
With the nearest neighbours (Å) after each atom.
Element x y z (fractional)
Li: 0.0000 0.0000 0.0000  6 O 2.11-2.19
Li: 0.0000 0.5000 0.5000  6 O 2.23-2.25
Zn: 0.5000 0.0000 0.5000  6 O 2.12-2.20
Pt: 0.5000 0.5000 0.0000  6 O 2.06-2.07
O: 0.2679 0.0000 0.7777  2 Pt 2.06, 3 Li 2.11-2.25, 1 Zn 2.20
O: 0.2676 0.5000 0.2494  1 Pt 2.07, 2 Zn 2.12, 3 Li 2.19-2.23
O: 0.7321 0.0000 0.2223  2 Pt 2.06, 3 Li 2.11-2.25, 1 Zn 2.20
O: 0.7324 0.5000 0.7506  1 Pt 2.07, 2 Zn 2.12, 3 Li 2.19-2.23

---

[3]
This record from the Alexandria database describes crystalline LiZr2PtO at its relaxed geometry. The functional is GGA-PBE.

Calculated values
The value obtained for the total magnetic moment is 0.00 μB/cell. As for the crystal system: tetragonal. The value obtained for the raw formation energy is -7.5 eV/f.u.

abc: 4.4787 4.4787 3.7829
angles: 90.00 90.00 90.00
With the nearest neighbours (Å) after each atom.
Element x y z (fractional)
Li: 0.0000 0.0000 0.0000  2 O 1.89
Zr: 0.0000 0.5000 0.5000  2 O 2.24
Zr: 0.5000 0.0000 0.5000  2 O 2.24
Pt: 0.5000 0.5000 0.0000  8 Zr 2.93, 4 Li 3.17
O: 0.0000 0.0000 0.5000  2 Li 1.89